w.
This record from OQMD via LeMat-Bulk describes a relaxed structure of TmMgSc. The functional is PBE.

For the volume, the calculation gives 25.25 Å³/atom. The magnetization comes out at 0.00 μB/atom.

Cell: 3.4841 16.6218 5.2312 Å, 90.00 90.00 90.00°
Last column: nearest neighbours and their distance in Å.
Space group Cmcm (No. 63)
Inequivalent atoms, fractional coordinates:
Tm 0.0000 0.2262 0.2500 x4  6 Tm 3.24-3.48, 2 Mg 3.26, 4 Sc 3.38-3.40
Mg 0.0000 0.4393 0.7500 x4  6 Sc 3.16-3.20, 2 Tm 3.26, 4 Mg 3.30-3.48
Sc 0.0000 0.0978 0.7500 x4  6 Mg 3.16-3.20, 4 Tm 3.38-3.40, 2 Sc 3.48

x.
This record from OQMD via LeMat-Bulk describes a relaxed structure of TmMgSc. The functional is PBE.

For the volume, the calculation gives 29.71 Å³/atom. The magnetization comes out at 0.09 μB/atom.

Cell: 7.0911 7.0911 7.0911 Å, 90.00 90.00 90.00°
Last column: nearest neighbours and their distance in Å.
Space group F-43m (No. 216)
Inequivalent atoms, fractional coordinates:
Tm 0.0000 0.0000 0.0000 x4  4 Mg 3.07
Mg 0.2500 0.2500 0.7500 x4  4 Tm 3.07, 4 Sc 3.07
Sc 0.0000 0.0000 0.5000 x4  4 Mg 3.07

In kJ/mol of atoms, relative to the most stable structure: w 0.0; x 50.6.

w.
This record from OQMD via LeMat-Bulk describes a relaxed structure of SmMg. The functional is PBE.

For the volume, the calculation gives 28.50 Å³/atom. The magnetization comes out at 0.00 μB/atom.

Cell: 7.0036 17.9875 5.4293 Å, 90.00 90.00 90.00°
Last column: nearest neighbours and their distance in Å.
Space group Pbcm (No. 57)
Inequivalent atoms, fractional coordinates:
Sm 0.1168 0.0328 0.2500 x4  7 Sm 3.37-3.63, 5 Mg 3.38-3.56
Sm 0.3657 0.5205 0.2500 x4  7 Sm 3.37-3.63, 5 Mg 3.45-3.58
Sm 0.3789 0.1904 0.2500 x4  4 Sm 3.38-3.54, 8 Mg 3.40-3.57
Mg 0.1104 0.1444 0.7500 x4  4 Mg 3.30-3.32, 7 Sm 3.38-3.56
Mg 0.1277 0.6968 0.2500 x4  8 Mg 3.31-3.37, 4 Sm 3.41-3.58
Mg 0.3600 0.6391 0.7500 x4  4 Mg 3.30-3.37, 7 Sm 3.40-3.57

x.
This record from OQMD via LeMat-Bulk describes a relaxed structure of SmMg. The functional is PBE.

For the volume, the calculation gives 28.63 Å³/atom. The magnetization comes out at 0.00 μB/atom.

Cell: 6.8561 5.3847 9.3056 Å, 90.00 90.03 90.00°
Last column: nearest neighbours and their distance in Å.
Space group P2_1/m (No. 11)
Inequivalent atoms, fractional coordinates:
Sm 0.0080 0.2500 0.0884 x2  3 Mg 3.15-3.45, 4 Sm 3.16-3.53
Sm 0.2515 0.2500 0.7433 x2  5 Sm 3.39-3.62, 9 Mg 3.43-3.58
Sm 0.2546 0.7500 0.2538 x2  5 Sm 3.39-3.66, 9 Mg 3.42-3.62
Mg 0.0071 0.7500 0.5727 x2  2 Mg 3.01, 1 Sm 3.15
Mg 0.4897 0.7500 0.9231 x2  3 Mg 3.05-3.10, 1 Sm 3.41
Mg 0.4945 0.2500 0.4102 x2  5 Mg 3.10-3.44, 2 Sm 3.47

In kJ/mol of atoms, relative to the most stable structure: w 4.5; x 0.0.

w.
This record from OQMD via LeMat-Bulk describes a relaxed structure of Sm2Mg. The functional is PBE.

For the volume, the calculation gives 30.96 Å³/atom. The magnetization comes out at 0.04 μB/atom.

Cell: 3.5232 3.5232 17.2787 Å, 90.00 90.00 120.00°
Last column: nearest neighbours and their distance in Å.
Space group P6_3/mmc (No. 194)
Inequivalent atoms, fractional coordinates:
Sm 0.3333 0.6667 0.0837 x4  3 Mg 3.52, 9 Sm 3.52-3.54
Mg 0.3333 0.6667 0.7500 x2  6 Sm 3.52, 6 Mg 3.52

x.
This record from OQMD via LeMat-Bulk describes a relaxed structure of Sm2Mg. The functional is PBE.

For the volume, the calculation gives 30.87 Å³/atom. The magnetization comes out at 0.01 μB/atom.

Cell: 3.5599 3.5599 16.8767 Å, 90.00 90.00 120.00°
Last column: nearest neighbours and their distance in Å.
Space group P-3m1 (No. 164)
Inequivalent atoms, fractional coordinates:
Sm 0.3333 0.6667 0.2654 x2  3 Mg 3.43, 9 Sm 3.56-3.61
Sm 0.3333 0.6667 0.9108 x2  12 Sm 3.56-3.65
Mg 0.3333 0.6667 0.5718 x2  3 Mg 3.18, 3 Sm 3.43

y.
This record from OQMD via LeMat-Bulk describes a relaxed structure of Sm2Mg. The functional is PBE.

For the volume, the calculation gives 100.85 Å³/atom. The magnetization comes out at 0.21 μB/atom.

Cell: 13.4267 13.4267 13.4267 Å, 90.00 90.00 90.00°
Last column: nearest neighbours and their distance in Å.
Space group Fd-3m (No. 227, origin choice 2)
Inequivalent atoms, fractional coordinates:
Sm 0.0000 0.0000 0.0000 x16  2 Mg 2.91
Mg 0.1250 0.1250 0.1250 x8  4 Sm 2.91

In kJ/mol of atoms, relative to the most stable structure: w 0.6; x 0.0; y 187.7.

w.
This record from OQMD via LeMat-Bulk describes a relaxed structure of SmMgTa. The functional is PBE.

For the volume, the calculation gives 28.95 Å³/atom. The magnetization comes out at 0.66 μB/atom.

Cell: 7.0295 7.0295 7.0295 Å, 90.00 90.00 90.00°
Last column: nearest neighbours and their distance in Å.
Space group F-43m (No. 216)
Inequivalent atoms, fractional coordinates:
Sm 0.0000 0.0000 0.0000 x4  4 Mg 3.04, 4 Ta 3.04
Mg 0.2500 0.2500 0.7500 x4  4 Sm 3.04
Ta 0.2500 0.2500 0.2500 x4  4 Sm 3.04

x.
This record from OQMD via LeMat-Bulk describes a relaxed structure of SmMgTa. The functional is PBE.

For the volume, the calculation gives 26.48 Å³/atom. The magnetization comes out at 0.01 μB/atom.

Cell: 6.8239 6.8239 6.8239 Å, 90.00 90.00 90.00°
Last column: nearest neighbours and their distance in Å.
Space group F-43m (No. 216)
Inequivalent atoms, fractional coordinates:
Sm 0.0000 0.0000 0.0000 x4  4 Mg 2.95
Mg 0.2500 0.2500 0.2500 x4  4 Ta 2.95, 4 Sm 2.95
Ta 0.0000 0.0000 0.5000 x4  4 Mg 2.95

In kJ/mol of atoms, relative to the most stable structure: w 34.9; x 0.0.

w.
This record from OQMD via LeMat-Bulk describes a relaxed structure of SmMgTe. The functional is PBE.

For the volume, the calculation gives 33.47 Å³/atom. The magnetization comes out at 0.12 μB/atom.

Cell: 7.3780 7.3780 7.3780 Å, 90.00 90.00 90.00°
Last column: nearest neighbours and their distance in Å.
Space group F-43m (No. 216)
Inequivalent atoms, fractional coordinates:
Sm 0.0000 0.0000 0.0000 x4  4 Mg 3.19, 4 Te 3.19
Mg 0.2500 0.2500 0.7500 x4  4 Sm 3.19
Te 0.2500 0.2500 0.2500 x4  4 Sm 3.19

x.
This record from OQMD via LeMat-Bulk describes a relaxed structure of SmMgTe. The functional is PBE.

For the volume, the calculation gives 32.36 Å³/atom. The magnetization comes out at 0.23 μB/atom.

Cell: 7.2958 7.2958 7.2958 Å, 90.00 90.00 90.00°
Last column: nearest neighbours and their distance in Å.
Space group F-43m (No. 216)
Inequivalent atoms, fractional coordinates:
Sm 0.0000 0.0000 0.0000 x4  4 Te 3.16
Mg 0.0000 0.0000 0.5000 x4  4 Te 3.16
Te 0.2500 0.2500 0.7500 x4  4 Mg 3.16, 4 Sm 3.16

In kJ/mol of atoms, relative to the most stable structure: w 4.6; x 0.0.

w.
This record from OQMD via LeMat-Bulk describes a relaxed structure of MgTaTcSn. The functional is PBE.

For the volume, the calculation gives 17.72 Å³/atom. The magnetization comes out at 0.01 μB/atom.

Cell: 6.5695 6.5695 6.5695 Å, 90.00 90.00 90.00°
Last column: nearest neighbours and their distance in Å.
Space group F-43m (No. 216)
Inequivalent atoms, fractional coordinates:
Mg 0.0000 0.0000 0.0000 x4  4 Ta 2.84, 4 Tc 2.84
Ta 0.2500 0.2500 0.7500 x4  4 Sn 2.84, 4 Mg 2.84
Tc 0.2500 0.2500 0.2500 x4  4 Sn 2.84, 4 Mg 2.84
Sn 0.0000 0.0000 0.5000 x4  4 Ta 2.84, 4 Tc 2.84

x.
This record from OQMD via LeMat-Bulk describes a relaxed structure of MgTaTcSn. The functional is PBE.

For the volume, the calculation gives 17.31 Å³/atom. The magnetization comes out at 0.00 μB/atom.

Cell: 6.5180 6.5180 6.5180 Å, 90.00 90.00 90.00°
Last column: nearest neighbours and their distance in Å.
Space group F-43m (No. 216)
Inequivalent atoms, fractional coordinates:
Mg 0.0000 0.0000 0.0000 x4  4 Ta 2.82, 4 Sn 2.82
Ta 0.2500 0.2500 0.7500 x4  4 Tc 2.82, 4 Mg 2.82
Tc 0.0000 0.0000 0.5000 x4  4 Sn 2.82, 4 Ta 2.82
Sn 0.2500 0.2500 0.2500 x4  4 Tc 2.82, 4 Mg 2.82

In kJ/mol of atoms, relative to the most stable structure: w 39.3; x 0.0.